# GGA-PBEsol Ga2HgAu2, optimized geometry
# calculated formation energy = -0.024 eV per atom
data_Ga2HgAu2
_chemical_formula_sum 'Ga4 Hg2 Au4'
_space_group_name_H-M_alt 'P 1'
_space_group_IT_number 1
_space_group_name_Hall 'P 1'
_cell_length_a 4.140
_cell_length_b 4.140
_cell_length_c 11.337
_cell_angle_alpha 90.00
_cell_angle_beta 90.00
_cell_angle_gamma 90.00
loop_
_atom_site_label
_atom_site_type_symbol
_atom_site_fract_x
_atom_site_fract_y
_atom_site_fract_z
Ga1 Ga 0.000 0.000 0.108
Ga2 Ga 0.000 0.000 0.892
Ga3 Ga 0.500 0.500 0.392
Ga4 Ga 0.500 0.500 0.608
Hg1 Hg 0.000 0.000 0.500
Hg2 Hg 0.500 0.500 0.000
Au1 Au 0.000 0.500 0.250
Au2 Au 0.000 0.500 0.750
Au3 Au 0.500 0.000 0.250
Au4 Au 0.500 0.000 0.750